w:
## Sr2Sn2Pt (GGA-PBE)

Data for Sr2Sn2Pt after structural relaxation.

a = 11.757 Å, b = 4.763 Å, c = 11.681 Å
α = 90.00°, β = 117.33°, γ = 90.00°
Space group C2/m (No. 12)
Asymmetric unit:
Sr: 0.001 0.000 0.169
Sr: 0.189 0.000 0.615
Sn: 0.015 0.500 0.380
Sn: 0.165 0.500 0.054
Pt: 0.220 0.500 0.841

Values from the calculation:
As for the density: 6.9 g/cm³. As for the density of states at the Fermi level: 11.2 states/eV per cell.

x:
## Sr2Sn2Pt (GGA-PBE)

Data for Sr2Sn2Pt after structural relaxation.

a = 7.354 Å, b = 7.354 Å, c = 5.222 Å
α = 90.00°, β = 90.00°, γ = 90.00°
Space group P4/mbm (No. 127)
Asymmetric unit:
Sr: 0.168 0.332 0.000
Sn: 0.144 0.644 0.500
Pt: 0.000 0.000 0.500

Values from the calculation:
As for the density: 7.1 g/cm³. As for the density of states at the Fermi level: 3.2 states/eV per cell.

Energy ordering: w at the bottom, the next structure 142 meV/atom above.

w:
## Sr2Sn3Pt (GGA-PBE)

Data for Sr2Sn3Pt after structural relaxation.

a = 11.482 Å, b = 4.946 Å, c = 8.028 Å
α = 90.00°, β = 132.66°, γ = 90.00°
Space group Cm (No. 8)
Asymmetric unit:
Sr: 0.000 0.000 0.000
Sr: 0.115 0.000 0.609
Sn: 0.230 0.500 0.387
Sn: 0.381 0.000 0.202
Sn: 0.436 0.000 0.646
Pt: 0.240 0.500 0.047

Values from the calculation:
As for the density: 7.2 g/cm³. As for the density of states at the Fermi level: 5.2 states/eV per cell.

x:
## Sr2Sn3Pt (GGA-PBE)

Data for Sr2Sn3Pt after structural relaxation.

a = 4.689 Å, b = 4.721 Å, c = 8.268 Å
α = 90.00°, β = 90.00°, γ = 90.00°
Space group Pmm2 (No. 25)
Asymmetric unit:
Sr: 0.000 0.000 0.000
Sr: 0.000 0.500 0.459
Sn: 0.500 0.000 0.615
Sn: 0.500 0.500 0.158
Sn: 0.500 0.500 0.813
Pt: 0.500 0.000 0.297

Values from the calculation:
As for the density: 6.6 g/cm³. As for the density of states at the Fermi level: 3.2 states/eV per cell.

Energy ordering: w at the bottom, the next structure 19 meV/atom above.

w:
## Sr2Sn5Pt3 (GGA-PBE)

Data for Sr2Sn5Pt3 after structural relaxation.

a = 4.620 Å, b = 27.230 Å, c = 7.518 Å
α = 90.00°, β = 90.00°, γ = 90.00°
Space group Cmc2_1 (No. 36)
Asymmetric unit:
Sr: 0.000 0.023 0.000
Sr: 0.000 0.326 0.024
Sn: 0.000 0.098 0.372
Sn: 0.000 0.205 0.823
Sn: 0.000 0.209 0.239
Sn: 0.000 0.380 0.495
Sn: 0.000 0.450 0.166
Pt: 0.000 0.108 0.738
Pt: 0.000 0.278 0.532
Pt: 0.000 0.448 0.789

Values from the calculation:
As for the density: 9.5 g/cm³. As for the density of states at the Fermi level: 13.5 states/eV per cell.

x:
## Sr2Sn5Pt3 (GGA-PBE)

Data for Sr2Sn5Pt3 after structural relaxation.

a = 11.308 Å, b = 12.938 Å, c = 6.734 Å
α = 90.00°, β = 90.00°, γ = 90.00°
Space group Ibam (No. 72)
Asymmetric unit:
Sr: 0.234 0.141 0.000
Sn: 0.000 0.000 0.250
Sn: 0.000 0.267 0.250
Sn: 0.157 0.407 0.000
Pt: 0.000 0.500 0.250
Pt: 0.113 0.134 0.500

Values from the calculation:
As for the density: 9.1 g/cm³. As for the density of states at the Fermi level: 14.4 states/eV per cell.

Energy ordering: w at the bottom, the next structure 8 meV/atom above.

w:
## SrSn8Pt2 (GGA-PBE)

Data for SrSn8Pt2 after structural relaxation.

a = 8.784 Å, b = 13.549 Å, c = 4.952 Å
α = 90.00°, β = 97.34°, γ = 90.00°
Space group C2/m (No. 12)
Asymmetric unit:
Sr: 0.000 0.000 0.000
Sn: 0.000 0.251 0.000
Sn: 0.111 0.500 0.801
Sn: 0.199 0.141 0.593
Pt: 0.000 0.333 0.500

Values from the calculation:
As for the density: 8.1 g/cm³. As for the density of states at the Fermi level: 13.2 states/eV per cell.

x:
## SrSn8Pt2 (GGA-PBE)

Data for SrSn8Pt2 after structural relaxation.

a = 6.466 Å, b = 6.466 Å, c = 8.442 Å
α = 90.00°, β = 90.00°, γ = 90.00°
Space group P4/mmm (No. 123)
Asymmetric unit:
Sr: 0.000 0.000 0.000
Sn: 0.255 0.255 0.307
Pt: 0.000 0.500 0.500

Values from the calculation:
As for the density: 6.7 g/cm³. As for the density of states at the Fermi level: 6.4 states/eV per cell.

Energy ordering: w at the bottom, the next structure 48 meV/atom above.

w:
## TaSn2Pt2 (GGA-PBE)

Data for TaSn2Pt2 after structural relaxation.

a = 3.828 Å, b = 3.828 Å, c = 13.688 Å
α = 90.00°, β = 90.00°, γ = 90.00°
Space group I4/mmm (No. 139)
Asymmetric unit:
Ta: 0.000 0.000 0.000
Sn: 0.000 0.000 0.394
Pt: 0.000 0.500 0.250

Values from the calculation:
As for the density: 13.4 g/cm³. As for the density of states at the Fermi level: 7.7 states/eV per cell.

x:
## TaSn2Pt2 (GGA-PBE)

Data for TaSn2Pt2 after structural relaxation.

a = 7.713 Å, b = 7.713 Å, c = 3.201 Å
α = 90.00°, β = 90.00°, γ = 90.00°
Space group P4/mbm (No. 127)
Asymmetric unit:
Ta: 0.000 0.000 0.000
Sn: 0.147 0.353 0.000
Pt: 0.152 0.652 0.500

Values from the calculation:
As for the density: 14.1 g/cm³. As for the density of states at the Fermi level: 6.0 states/eV per cell.

Energy ordering: x at the bottom, the next structure 228 meV/atom above.

w:
## TcSn3Pt (GGA-PBE)

Data for TcSn3Pt after structural relaxation.

a = 5.074 Å, b = 5.074 Å, c = 5.074 Å
α = 90.00°, β = 90.00°, γ = 90.00°
Space group Pm-3m (No. 221)
Asymmetric unit:
Tc: 0.000 0.000 0.000
Sn: 0.000 0.000 0.500
Pt: 0.500 0.500 0.500

Values from the calculation:
As for the density: 8.3 g/cm³. As for the density of states at the Fermi level: 4.5 states/eV per cell.

x:
## TcSn3Pt (GGA-PBE)

Data for TcSn3Pt after structural relaxation.

a = 5.191 Å, b = 5.191 Å, c = 5.191 Å
α = 90.00°, β = 90.00°, γ = 90.00°
Space group Pm-3m (No. 221)
Asymmetric unit:
Tc: 0.000 0.000 0.000
Sn: 0.000 0.500 0.500
Pt: 0.500 0.500 0.500

Values from the calculation:
As for the density: 7.7 g/cm³. As for the density of states at the Fermi level: 5.1 states/eV per cell.

Energy ordering: w at the bottom, the next structure 374 meV/atom above.